Here is crystalline Na2CrPO4 at its relaxed geometry from Alexandria. Energies are from PBE+U.

M_tot	4.99	μB/cell
E	-6.247	eV per atom
theoretical density	2.99	g/cm³

Cell lengths 5.1994, 5.1994, 5.1994 Å; angles 103.11, 112.74, 112.74 degrees
Each line ends with the local moment (μB).
Fractional positions:
Cr1 0.5000 0.2500 0.7500  4.44
P1 0.0000 0.5000 0.5000  0.01
O1 0.9915 0.5117 0.1987  0.01
O2 0.3130 0.8013 0.7928  0.01
O3 0.6870 0.4798 0.4883  0.01
O4 0.0085 0.2072 0.5202  0.01
Na1 0.5000 0.7500 0.2500  0.01
Na2 0.0000 0.0000 0.0000  0.01